*1*
## BaNdZr2O6 (PBE)

Data for crystalline BaNdZr2O6 at its relaxed geometry.

Values from the calculation:
magnetization = 0.00 Bohr magnetons per cell
symmetry = P4/mmm, No. 123

Cell lengths 4.2206, 4.2206, 8.3827 Å; angles 90.00, 90.00, 90.00 degrees
Positions (direct):
Ba: 0.0000 0.0000 0.0000
Nd: 0.0000 0.0000 0.5000
Zr: 0.5000 0.5000 0.2555
Zr: 0.5000 0.5000 0.7445
O: 0.0000 0.5000 0.2730
O: 0.0000 0.5000 0.7270
O: 0.5000 0.0000 0.2730
O: 0.5000 0.0000 0.7270
O: 0.5000 0.5000 0.0000
O: 0.5000 0.5000 0.5000

*2*
## BaNdZr2O6 (PBE)

Data for crystalline BaNdZr2O6 at its relaxed geometry.

Values from the calculation:
magnetization = 0.00 Bohr magnetons per cell
symmetry = Cmmm, No. 65

Cell lengths 5.8617, 5.8617, 4.2782 Å; angles 90.00, 90.00, 91.31 degrees
Positions (direct):
Ba: 0.0000 0.0000 0.0000
Nd: 0.5000 0.5000 0.0000
Zr: 0.0000 0.5000 0.5000
Zr: 0.5000 0.0000 0.5000
O: 0.0000 0.5000 0.0000
O: 0.1965 0.8035 0.5000
O: 0.3196 0.3196 0.5000
O: 0.5000 0.0000 0.0000
O: 0.6804 0.6804 0.5000
O: 0.8035 0.1965 0.5000

Pick the most stable structure from those above. Pick: *2*